# 1
This record from the Alexandria database describes an optimized crystal structure of ReRuCl2. The functional is GGA-PBE.

Cell lengths 2.9272, 2.9272, 8.5830 Å; angles 90.00, 90.00, 90.00 degrees
Last column: nearest neighbours and their distance in Å.
Space group P4mm (No. 99)
Inequivalent atoms, fractional coordinates:
Re 0.0000 0.0000 0.0000  4 Ru 2.60, 4 Cl 2.69
Ru 0.5000 0.5000 0.1840  4 Re 2.60, 4 Cl 2.73
Cl 0.0000 0.0000 0.3905  4 Ru 2.73, 4 Cl 2.93
Cl 0.5000 0.5000 0.7995  4 Re 2.69, 4 Cl 2.93

Output
Total magnetization (Bohr magnetons per cell): 0.00
Distance to the lowest polymorph of the same formula (eV/atom): 0.1403
E_form (uncorrected) (eV per atom): 0.076

=====

# 2
This record from the Alexandria database describes an optimized crystal structure of ReRuCl2. The functional is GGA-PBE.

Cell lengths 13.1404, 2.9187, 4.5845 Å; angles 90.00, 97.17, 90.00 degrees
Last column: nearest neighbours and their distance in Å.
Space group C2/m (No. 12)
Inequivalent atoms, fractional coordinates:
Re 0.0000 0.0000 0.0000  4 Cl 2.43, 4 Ru 2.72
Ru 0.0000 0.5000 0.5000  2 Cl 2.39
Cl 0.1382 0.5000 0.2086  1 Ru 2.39, 2 Re 2.43

Output
Total magnetization (Bohr magnetons per cell): 1.40
Distance to the lowest polymorph of the same formula (eV/atom): 0.5077
E_form (uncorrected) (eV per atom): 0.443

=====

# 3
This record from the Alexandria database describes an optimized crystal structure of Re2RuCl. The functional is GGA-PBE.

Cell lengths 2.7737, 2.7737, 7.7688 Å; angles 90.00, 90.00, 90.00 degrees
Last column: nearest neighbours and their distance in Å.
Space group P4/mmm (No. 123)
Inequivalent atoms, fractional coordinates:
Re 0.0000 0.0000 0.2420  4 Ru 2.72, 4 Re 2.77, 4 Cl 2.80
Ru 0.5000 0.5000 0.0000  8 Re 2.72, 4 Ru 2.77
Cl 0.5000 0.5000 0.5000  4 Cl 2.77, 8 Re 2.80

Output
Total magnetization (Bohr magnetons per cell): 0.00
Distance to the lowest polymorph of the same formula (eV/atom): 0.3693
E_form (uncorrected) (eV per atom): 0.723

=====

# 4
This record from the Alexandria database describes an optimized crystal structure of Re2RuCl. The functional is GGA-PBE.

Cell lengths 2.8377, 3.9678, 5.4260 Å; angles 90.00, 105.06, 90.00 degrees
Last column: nearest neighbours and their distance in Å.
Space group Pm (No. 6)
Inequivalent atoms, fractional coordinates:
Re 0.0000 0.0000 0.0000  1 Cl 2.36
Re 0.3633 0.5000 0.7260  2 Cl 2.45, 1 Ru 2.62
Ru 0.6119 0.5000 0.2256  5 Re 2.62-2.71, 4 Cl 2.69-2.73, 2 Ru 2.84
Cl 0.2377 0.0000 0.4505  3 Re 2.36-2.45

Output
Total magnetization (Bohr magnetons per cell): 0.00
Distance to the lowest polymorph of the same formula (eV/atom): 0.2860
E_form (uncorrected) (eV per atom): 0.640

=====

# 5
This record from the Alexandria database describes an optimized crystal structure of Re2RuCl. The functional is GGA-PBE.

Cell lengths 6.1822, 6.1822, 6.1822 Å; angles 90.00, 90.00, 90.00 degrees
Last column: nearest neighbours and their distance in Å.
Space group Fm-3m (No. 225)
Inequivalent atoms, fractional coordinates:
Re 0.2500 0.2500 0.2500  4 Cl 2.68, 4 Ru 2.68
Ru 0.0000 0.0000 0.0000  8 Re 2.68
Cl 0.0000 0.0000 0.5000  8 Re 2.68

Output
Total magnetization (Bohr magnetons per cell): 0.00
Distance to the lowest polymorph of the same formula (eV/atom): 0.6868
E_form (uncorrected) (eV per atom): 1.041

=====

# 6
This record from the Alexandria database describes an optimized crystal structure of Re2RuCl2. The functional is GGA-PBE.

Cell lengths 3.7783, 3.7783, 11.7230 Å; angles 90.00, 90.00, 90.00 degrees
Last column: nearest neighbours and their distance in Å.
Space group I4/mmm (No. 139)
Inequivalent atoms, fractional coordinates:
Re 0.0000 0.0000 0.0981  1 Re 2.30
Ru 0.0000 0.0000 0.5000  8 Re 2.91
Cl 0.0000 0.5000 0.2500  4 Re 2.60, 4 Cl 2.67

Output
Total magnetization (Bohr magnetons per cell): 0.00
E_form (uncorrected) (eV per atom): 1.020

=====

# 7
This record from the Alexandria database describes an optimized crystal structure of Re2RuCl. The functional is GGA-PBE.

Cell lengths 2.8562, 4.5212, 8.9152 Å; angles 90.00, 90.00, 90.00 degrees
Last column: nearest neighbours and their distance in Å.
Space group Imm2 (No. 44)
Inequivalent atoms, fractional coordinates:
Re 0.0000 0.0000 0.0000  2 Cl 2.49, 4 Ru 2.69
Re 0.0000 0.5000 0.2318  4 Cl 2.67, 4 Re 2.79-2.86, 2 Ru 2.79
Ru 0.0000 0.0000 0.4634  2 Cl 2.54, 6 Re 2.69-2.79
Cl 0.0000 0.5000 0.7283  6 Re 2.49-2.67, 2 Ru 2.54

Output
Total magnetization (Bohr magnetons per cell): 0.00
Distance to the lowest polymorph of the same formula (eV/atom): 0.4732
E_form (uncorrected) (eV per atom): 0.827

=====

# 8
This record from the Alexandria database describes an optimized crystal structure of Re2RuCl. The functional is GGA-PBE.

Cell lengths 2.7999, 4.8686, 9.0446 Å; angles 90.00, 90.00, 90.00 degrees
Last column: nearest neighbours and their distance in Å.
Space group Cmmm (No. 65)
Inequivalent atoms, fractional coordinates:
Re 0.0000 0.0000 0.2454  2 Ru 2.62, 2 Cl 2.69, 6 Re 2.80-2.81
Ru 0.0000 0.5000 0.0000  4 Re 2.62, 6 Ru 2.80-2.81
Cl 0.0000 0.5000 0.5000  4 Re 2.69, 6 Cl 2.80-2.81

Output
Total magnetization (Bohr magnetons per cell): 0.00
Distance to the lowest polymorph of the same formula (eV/atom): 0.4350
E_form (uncorrected) (eV per atom): 0.789

=====

# 9
This record from the Alexandria database describes an optimized crystal structure of Re2RuCl. The functional is GGA-PBE.

Cell lengths 2.8282, 2.8282, 25.6082 Å; angles 90.00, 90.00, 120.00 degrees
Last column: nearest neighbours and their distance in Å.
Space group R-3m (No. 166, hexagonal axes)
Inequivalent atoms, fractional coordinates:
Re 0.0000 0.0000 0.2504  3 Ru 2.68, 3 Cl 2.69, 6 Re 2.83
Ru 0.0000 0.0000 0.0000  6 Re 2.68, 6 Ru 2.83
Cl 0.0000 0.0000 0.5000  6 Re 2.69, 6 Cl 2.83

Output
Total magnetization (Bohr magnetons per cell): 0.00
Distance to the lowest polymorph of the same formula (eV/atom): 0.1132
E_form (uncorrected) (eV per atom): 0.467

=====

# 10
This record from the Alexandria database describes an optimized crystal structure of Re2RuCl. The functional is GGA-PBE.

Cell lengths 9.6077, 2.8423, 4.5100 Å; angles 90.00, 90.28, 90.00 degrees
Last column: nearest neighbours and their distance in Å.
Space group Cm (No. 8)
Inequivalent atoms, fractional coordinates:
Re 0.0000 0.0000 0.0000  2 Cl 2.39
Re 0.2040 0.5000 0.2605  1 Cl 2.46, 2 Ru 2.60, 2 Re 2.69
Ru 0.2730 0.0000 0.8025  1 Cl 2.37, 2 Re 2.60
Cl 0.4949 0.0000 0.5743  1 Ru 2.37, 3 Re 2.39-2.46

Output
Total magnetization (Bohr magnetons per cell): 0.00
Distance to the lowest polymorph of the same formula (eV/atom): 0.3740
E_form (uncorrected) (eV per atom): 0.728

=====

# 11
This record from the Alexandria database describes an optimized crystal structure of Re2RuCl. The functional is GGA-PBE.

Cell lengths 5.1115, 8.3970, 2.8318 Å; angles 90.00, 90.00, 90.00 degrees
Last column: nearest neighbours and their distance in Å.
Space group Cmmm (No. 65)
Inequivalent atoms, fractional coordinates:
Re 0.2500 0.2500 0.0000  4 Re 2.56-2.83, 4 Cl 2.84, 4 Ru 2.84
Ru 0.0000 0.0000 0.5000  2 Cl 2.56, 2 Ru 2.83, 8 Re 2.84
Cl 0.0000 0.5000 0.5000  2 Ru 2.56, 2 Cl 2.83, 8 Re 2.84

Output
Total magnetization (Bohr magnetons per cell): 0.00
Distance to the lowest polymorph of the same formula (eV/atom): 0.8204
E_form (uncorrected) (eV per atom): 1.174

=====

# 12
This record from the Alexandria database describes an optimized crystal structure of Re2RuCl. The functional is GGA-PBE.

Cell lengths 6.2295, 6.2295, 6.2295 Å; angles 90.00, 90.00, 90.00 degrees
Last column: nearest neighbours and their distance in Å.
Space group F-43m (No. 216)
Inequivalent atoms, fractional coordinates:
Re 0.0000 0.0000 0.0000  4 Re 2.70, 4 Cl 2.70
Re 0.2500 0.2500 0.2500  4 Re 2.70, 4 Ru 2.70
Ru 0.0000 0.0000 0.5000  4 Cl 2.70, 4 Re 2.70
Cl 0.2500 0.2500 0.7500  4 Re 2.70, 4 Ru 2.70

Output
Total magnetization (Bohr magnetons per cell): 0.00
Distance to the lowest polymorph of the same formula (eV/atom): 0.6948
E_form (uncorrected) (eV per atom): 1.049

=====

# 13
This record from the Alexandria database describes an optimized crystal structure of ReRuCl4. The functional is GGA-PBE.

Cell lengths 8.0700, 8.0700, 8.0700 Å; angles 90.00, 90.00, 90.00 degrees
Last column: nearest neighbours and their distance in Å.
Space group F-43m (No. 216)
Inequivalent atoms, fractional coordinates:
Re 0.0000 0.0000 0.0000  12 Cl 3.35, 4 Ru 3.49
Ru 0.2500 0.2500 0.7500  12 Cl 3.34, 4 Re 3.49
Cl 0.1245 0.1245 0.3755  6 Cl 2.84-2.86

Output
Total magnetization (Bohr magnetons per cell): 12.44
E_form (uncorrected) (eV per atom): 1.826

=====

# 14
This record from the Alexandria database describes an optimized crystal structure of ReRuCl2. The functional is GGA-PBE.

Cell lengths 6.2295, 3.5987, 8.6300 Å; angles 90.00, 92.21, 90.00 degrees
Last column: nearest neighbours and their distance in Å.
Space group Cm (No. 8)
Inequivalent atoms, fractional coordinates:
Re 0.0000 0.0000 0.0000  1 Cl 2.22, 3 Ru 2.39
Ru 0.3405 0.0000 0.1371  3 Re 2.39, 2 Cl 2.67
Cl 0.1871 0.5000 0.3323  3 Ru 2.67-2.69
Cl 0.4883 0.5000 0.7420  1 Re 2.22

Output
Total magnetization (Bohr magnetons per cell): 0.00
Distance to the lowest polymorph of the same formula (eV/atom): 0.0631
E_form (uncorrected) (eV per atom): -0.001

=====

# 15
This record from the Alexandria database describes an optimized crystal structure of ReRuCl2. The functional is GGA-PBE.

Cell lengths 2.8357, 5.2926, 8.6675 Å; angles 90.00, 90.00, 90.00 degrees
Last column: nearest neighbours and their distance in Å.
Space group Cmmm (No. 65)
Inequivalent atoms, fractional coordinates:
Re 0.0000 0.0000 0.0000  4 Cl 2.45
Ru 0.0000 0.0000 0.5000  4 Cl 2.73, 6 Ru 2.84-3.00
Cl 0.0000 0.5000 0.2312  2 Re 2.45, 2 Ru 2.73

Output
Total magnetization (Bohr magnetons per cell): 3.44
Distance to the lowest polymorph of the same formula (eV/atom): 0.9907
E_form (uncorrected) (eV per atom): 0.926

=====

# 16
This record from the Alexandria database describes an optimized crystal structure of Re2RuCl. The functional is GGA-PBE.

Cell lengths 5.6192, 5.6192, 10.1034 Å; angles 90.00, 90.00, 90.00 degrees
Last column: nearest neighbours and their distance in Å.
Space group I-42d (No. 122)
Inequivalent atoms, fractional coordinates:
Re 0.2393 0.2500 0.1250  2 Cl 2.32, 2 Ru 2.39
Ru 0.0000 0.0000 0.5000  4 Re 2.39
Cl 0.0000 0.0000 0.0000  4 Re 2.32

Output
Total magnetization (Bohr magnetons per cell): 0.00
Distance to the lowest polymorph of the same formula (eV/atom): 1.0807
E_form (uncorrected) (eV per atom): 1.435

=====

# 17
This record from the Alexandria database describes an optimized crystal structure of Re2RuCl. The functional is GGA-PBE.

Cell lengths 2.8282, 4.5367, 4.7037 Å; angles 90.00, 90.00, 90.00 degrees
Last column: nearest neighbours and their distance in Å.
Space group Pmmm (No. 47)
Inequivalent atoms, fractional coordinates:
Re 0.0000 0.0000 0.0000  6 Re 2.67-2.83, 4 Cl 2.74
Re 0.5000 0.5000 0.0000  6 Re 2.67-2.83, 4 Ru 2.74
Ru 0.0000 0.5000 0.5000  4 Cl 2.67, 4 Re 2.74, 2 Ru 2.83
Cl 0.5000 0.0000 0.5000  4 Ru 2.67, 4 Re 2.74, 2 Cl 2.83

Output
Total magnetization (Bohr magnetons per cell): 0.00
Distance to the lowest polymorph of the same formula (eV/atom): 0.6544
E_form (uncorrected) (eV per atom): 1.008

=====

# 18
This record from the Alexandria database describes an optimized crystal structure of ReRuCl2. The functional is GGA-PBE.

Cell lengths 2.9565, 3.0243, 9.0350 Å; angles 90.00, 98.87, 90.00 degrees
Last column: nearest neighbours and their distance in Å.
Space group Pm (No. 6)
Inequivalent atoms, fractional coordinates:
Re 0.0000 0.0000 0.0000  2 Cl 2.40, 4 Ru 2.61
Ru 0.4192 0.5000 0.8290  2 Cl 2.44, 4 Re 2.61
Cl 0.5995 0.0000 0.2115  2 Re 2.40
Cl 0.8174 0.5000 0.6120  2 Ru 2.44

Output
Total magnetization (Bohr magnetons per cell): 0.00
Distance to the lowest polymorph of the same formula (eV/atom): 0.0000
E_form (uncorrected) (eV per atom): -0.065

=====

# 19
This record from the Alexandria database describes an optimized crystal structure of ReRuCl2. The functional is GGA-PBE.

Cell lengths 2.8551, 5.2979, 9.7160 Å; angles 90.00, 90.00, 90.00 degrees
Last column: nearest neighbours and their distance in Å.
Space group Cmm2 (No. 35)
Inequivalent atoms, fractional coordinates:
Re 0.0000 0.0000 0.0000  2 Cl 2.45, 2 Ru 2.60
Ru 0.0000 0.5000 0.2238  2 Cl 2.45, 2 Re 2.60
Cl 0.0000 0.0000 0.4284  2 Ru 2.45
Cl 0.0000 0.5000 0.7947  2 Re 2.45

Output
Total magnetization (Bohr magnetons per cell): 0.00
Distance to the lowest polymorph of the same formula (eV/atom): 0.5132
E_form (uncorrected) (eV per atom): 0.449

=====

# 20
This record from the Alexandria database describes an optimized crystal structure of Re2RuCl. The functional is GGA-PBE.

Cell lengths 2.8406, 4.0915, 5.2392 Å; angles 90.00, 104.92, 90.00 degrees
Last column: nearest neighbours and their distance in Å.
Space group P2/m (No. 10)
Inequivalent atoms, fractional coordinates:
Re 0.1439 0.0000 0.2547  2 Cl 2.49, 1 Re 2.58, 2 Ru 2.77
Ru 0.5000 0.5000 0.0000  2 Cl 2.62, 8 Re 2.77-2.84, 2 Ru 2.84
Cl 0.5000 0.5000 0.5000  4 Re 2.49, 2 Ru 2.62

Output
Total magnetization (Bohr magnetons per cell): 0.00
Distance to the lowest polymorph of the same formula (eV/atom): 0.4341
E_form (uncorrected) (eV per atom): 0.788